First-principles (PBE) data for Sc3OsPb after structural relaxation, as listed in Alexandria via LeMat-Bulk.

Geometry as POSCAR:
```
Sc3OsPb
1.0
5.034 0.000 0.000
0.000 5.034 0.000
0.000 0.000 5.034
Pb Sc Os
1 3 1
direct
0.500 0.500 0.500 Pb
0.000 0.500 0.000 Sc
0.000 0.000 0.500 Sc
0.500 0.000 0.000 Sc
0.000 0.000 0.000 Os
```

Properties
* calculated formation energy: -0.120 eV per atom
* polymorph energy (0 for the lowest one): 0.0000 eV per atom
* E_tot: -6.91 eV/atom
* M_tot: 0.0 μB per formula unit
* crystal system: cubic


First-principles (PBE) data for Sc3OsPb after structural relaxation, as listed in Alexandria via LeMat-Bulk.

Geometry as POSCAR:
```
Sc3OsPb
1.0
5.220 0.000 0.000
0.000 5.220 0.000
0.000 0.000 5.220
Pb Sc Os
1 3 1
direct
0.000 0.000 0.000 Pb
0.000 0.500 0.000 Sc
0.000 0.000 0.500 Sc
0.500 0.000 0.000 Sc
0.500 0.500 0.500 Os
```

Properties
* calculated formation energy: 1.305 eV per atom
* polymorph energy (0 for the lowest one): 1.4246 eV per atom
* E_tot: -5.48 eV/atom
* M_tot: 0.0 μB per formula unit
* crystal system: cubic


First-principles (PBE) data for ScOsPb2 after structural relaxation, as listed in Alexandria via LeMat-Bulk.

Geometry as POSCAR:
```
ScOsPb2
1.0
9.288 -0.032 -0.019
8.687 3.288 -0.019
8.687 1.574 2.887
Os Pb Sc
1 2 1
direct
0.750 0.750 0.750 Os
0.009 0.009 0.009 Pb
0.491 0.491 0.491 Pb
0.250 0.250 0.250 Sc
```

Properties
* calculated formation energy: 0.496 eV per atom
* polymorph energy (0 for the lowest one): 0.4608 eV per atom
* E_tot: -5.75 eV/atom
* M_tot: 0.0 μB per formula unit
* crystal system: trigonal


First-principles (PBE) data for Sc2OsPbSe after structural relaxation, as listed in Alexandria via LeMat-Bulk.

Geometry as POSCAR:
```
Sc2OsPbSe
1.0
5.199 0.000 0.000
0.000 4.601 0.000
0.000 0.000 5.199
Pb Sc Os Se
1 2 1 1
direct
0.500 0.500 0.500 Pb
0.000 0.000 0.500 Sc
0.500 0.000 0.000 Sc
0.000 0.000 0.000 Os
0.000 0.500 0.000 Se
```

Properties
* polymorph energy (0 for the lowest one): 0.0000 eV per atom
* E_tot: -6.21 eV/atom
* M_tot: 0.0 μB per formula unit
* crystal system: tetragonal
* formation energy from raw total energies: 0.01 eV per atom


The evaluated DOS(E_F) for the records listed, in turn: 0.63 1.63 0.86 0.75 states/eV/atom.